Below is crystalline CoTcP2 at its relaxed geometry, with properties calculated at the PBE level.

Summary:
total moment: 0.190 μB per atom
energy of formation: -0.041 eV per atom

Lattice parameters (Å, degrees): 2.8210 2.8210 7.3305 90.00 90.00 90.01
Closest atoms and distances in Å follow each position.
Element x y z (fractional)
P1 0.5000 0.5000 0.3153  4 Tc 2.45
P2 0.0000 0.0000 0.9168  4 Co 2.31
Co1 0.5000 0.5000 0.7579  4 P 2.31
Tc1 0.0000 0.0000 0.5100  4 P 2.45, 4 Co 2.70